# 1
Compound: K2MgSi2
Source: Alexandria
Functional: GGA-PBE
Structure: optimized geometry

Unit cell a=7.403 b=7.403 c=5.409 alpha=90.00 beta=90.00 gamma=90.00
Fractional positions:
1 K 0.186 0.314 0.000
2 K 0.314 0.814 0.000
3 K 0.686 0.186 0.000
4 K 0.814 0.686 0.000
5 Mg 0.000 0.000 0.500
6 Mg 0.500 0.500 0.500
7 Si 0.108 0.608 0.500
8 Si 0.392 0.108 0.500
9 Si 0.608 0.892 0.500
10 Si 0.892 0.392 0.500

energy relative to the elements, uncorrected	0.18	eV per atom
offset from the most stable computed form	0	meV/atom
space group	P4/mbm (127)

***

# 2
Compound: Ta2TcBr
Source: Alexandria
Functional: GGA-PBE
Structure: optimized geometry

Unit cell a=4.615 b=4.615 c=4.615 alpha=60.00 beta=60.00 gamma=60.00
Fractional positions:
1 Ta 0.250 0.250 0.250
2 Ta 0.750 0.750 0.750
3 Tc 0.000 0.000 0.000
4 Br 0.500 0.500 0.500

energy relative to the elements, uncorrected	0.70	eV per atom
offset from the most stable computed form	633	meV/atom
space group	Fm-3m (225)

***

# 3
Compound: CaTiCoP2
Source: Alexandria
Functional: GGA-PBE
Structure: optimized geometry

Unit cell a=6.446 b=6.446 c=6.446 alpha=145.47 beta=145.47 gamma=49.64
Fractional positions:
1 Ca 0.000 0.000 0.000
2 Ti 0.250 0.750 0.500
3 Co 0.750 0.250 0.500
4 P 0.370 0.370 0.000
5 P 0.630 0.630 0.000

energy of formation from the pure elements	-444	kJ/mol of formula units
space group	I-4m2 (119)

***

# 4
Compound: NaPr2Au
Source: Alexandria
Functional: GGA-PBE
Structure: optimized geometry

Unit cell a=5.299 b=5.299 c=4.032 alpha=90.00 beta=90.00 gamma=90.00
Fractional positions:
1 Na 0.000 0.000 0.000
2 Pr 0.000 0.500 0.500
3 Pr 0.500 0.000 0.500
4 Au 0.500 0.500 0.000

offset from the most stable computed form	70	meV/atom
energy of formation from the pure elements	-68	kJ/mol of formula units
space group	P4/mmm (123)

***

# 5
Compound: Sc2RhPb
Source: Alexandria
Functional: GGA-PBE
Structure: optimized geometry

Unit cell a=8.605 b=8.605 c=8.605 alpha=23.60 beta=23.60 gamma=23.60
Fractional positions:
1 Sc 0.233 0.233 0.233
2 Sc 0.767 0.767 0.767
3 Rh 0.500 0.500 0.500
4 Pb 0.000 0.000 0.000

energy of formation from the pure elements	-188	kJ/mol of formula units
space group	R-3m (166)

***

# 6
Compound: Cs3CdAg
Source: Alexandria
Functional: GGA-PBE
Structure: optimized geometry

Unit cell a=7.132 b=7.132 c=7.132 alpha=90.00 beta=90.00 gamma=90.00
Fractional positions:
1 Cs 0.000 0.000 0.500
2 Cs 0.000 0.500 0.000
3 Cs 0.500 0.000 0.000
4 Cd 0.500 0.500 0.500
5 Ag 0.000 0.000 0.000

offset from the most stable computed form	148	meV/atom
energy of formation from the pure elements	64	kJ/mol of formula units
space group	Pm-3m (221)

***

# 7
Compound: Ba2LiSi
Source: Alexandria
Functional: GGA-PBE
Structure: optimized geometry

Unit cell a=3.960 b=3.960 c=9.274 alpha=90.00 beta=90.00 gamma=90.00
Fractional positions:
1 Ba 0.000 0.000 0.000
2 Ba 0.500 0.500 0.418
3 Li 0.000 0.000 0.672
4 Si 0.500 0.500 0.775

energy relative to the elements, uncorrected	0.04	eV per atom
space group	P4mm (99)

***

# 8
Compound: HfBRh3
Source: Alexandria
Functional: GGA-PBE
Structure: optimized geometry

Unit cell a=5.644 b=5.644 c=6.821 alpha=95.23 beta=95.23 gamma=44.40
Fractional positions:
1 Hf 0.131 0.131 0.179
2 Hf 0.869 0.869 0.821
3 B 0.348 0.348 0.381
4 B 0.652 0.652 0.619
5 Rh 0.187 0.187 0.592
6 Rh 0.358 0.358 0.054
7 Rh 0.452 0.452 0.668
8 Rh 0.548 0.548 0.332
9 Rh 0.642 0.642 0.946
10 Rh 0.813 0.813 0.408

offset from the most stable computed form	382	meV/atom
energy of formation from the pure elements	-194	kJ/mol of formula units
space group	C2/m (12)

***

For each record above, in turn, the calculated uncorrected energy values are -2.743, -8.240, -6.485, -3.715, -6.418, -1.133, -2.757, -8.140 eV/atom.